A plane-wave DFT calculation with PBE-GGA was carried out for an optimized crystal structure of PmPrIn.

Lattice parameters (Å, degrees): 3.5704 3.5704 15.4547 96.63 96.63 90.00
Closest atoms and distances in Å follow each position.
Positions (direct):
1 In 0.1307 0.1307 0.2615  4 Pr 3.32, 4 Pm 3.37, 4 In 3.57
2 Pr 0.5599 0.5599 0.1199  4 In 3.32, 5 Pr 3.57-3.66
3 Pm 0.7039 0.7039 0.4079  4 In 3.37, 4 Pm 3.57
4 In 0.8693 0.8693 0.7385  4 Pr 3.32, 4 Pm 3.37, 4 In 3.57
5 Pm 0.2961 0.2961 0.5921  4 In 3.37, 4 Pm 3.57
6 Pr 0.4401 0.4401 0.8801  4 In 3.32, 5 Pr 3.57-3.66

Values from the calculation:
Formation energy from the elements, eV/atom: -0.2231
Calculated density, g/cm3: 6.85
Energy relative to the lowest polymorph listed for this composition, meV per atom: 67
Total magnetic moment, Bohr magnetons per cell: 0.0

---

A plane-wave DFT calculation with PBE-GGA was carried out for an optimized crystal structure of Pm2Pr3In4.

Lattice parameters (Å, degrees): 5.1859 6.5960 10.3001 119.64 90.00 113.15
Closest atoms and distances in Å follow each position.
Positions (direct):
1 In 0.2917 0.5834 0.9567  2 In 3.08, 1 Pm 3.21, 1 Pr 3.34
2 Pm 0.3516 0.7031 0.6890  4 In 3.15-3.34
3 Pr 0.6478 0.2957 0.6868  5 In 3.29-3.50, 3 Pm 3.57-3.61, 1 Pr 3.58
4 In 0.9558 0.9115 0.6149  1 In 3.08, 3 Pm 3.15-3.34, 2 Pr 3.29
5 Pr 0.3522 0.7043 0.3132  5 In 3.29-3.50, 3 Pm 3.57-3.61, 1 Pr 3.58
6 In 0.0442 0.0885 0.3851  1 In 3.08, 3 Pm 3.15-3.34, 2 Pr 3.29
7 Pm 0.6484 0.2969 0.3110  4 In 3.15-3.34
8 In 0.7083 0.4166 0.0433  2 In 3.08, 1 Pm 3.21, 1 Pr 3.34
9 Pr 0.0000 0.0000 0.0000  8 In 3.48-3.80, 2 Pr 3.72, 4 Pm 3.74

Values from the calculation:
Formation energy from the elements, eV/atom: -0.3669
Calculated density, g/cm3: 7.13
Energy relative to the lowest polymorph listed for this composition, meV per atom: 46
Total magnetic moment, Bohr magnetons per cell: 0.0

---

A plane-wave DFT calculation with PBE-GGA was carried out for an optimized crystal structure of PmPrIn.

Lattice parameters (Å, degrees): 4.7899 4.7899 8.5440 89.99 90.01 90.03
Closest atoms and distances in Å follow each position.
Positions (direct):
1 In 0.7496 0.2504 0.7323  5 Pr 3.22-3.47, 4 Pm 3.31
2 Pm 0.2500 0.2500 0.0000  4 In 3.31, 4 Pm 3.39
3 Pr 0.2497 0.7503 0.6451  5 In 3.22-3.47
4 Pm 0.7500 0.7500 0.0000  4 In 3.31, 4 Pm 3.39
5 In 0.2504 0.7496 0.2677  5 Pr 3.22-3.47, 4 Pm 3.31
6 Pr 0.7503 0.2497 0.3549  5 In 3.22-3.47

Values from the calculation:
Formation energy from the elements, eV/atom: -0.2906
Calculated density, g/cm3: 6.79
Energy relative to the lowest polymorph listed for this composition, meV per atom: 0
Total magnetic moment, Bohr magnetons per cell: 1.2

---

A plane-wave DFT calculation with PBE-GGA was carried out for an optimized crystal structure of Pm3PrIn2.

Lattice parameters (Å, degrees): 5.3474 6.8736 10.1436 90.00 90.00 90.00
Closest atoms and distances in Å follow each position.
Positions (direct):
1 In 0.0000 0.2855 0.6447  6 Pm 3.29-3.62, 2 Pr 3.35
2 Pm 0.0000 0.3091 0.3198  5 In 3.29-3.62, 2 Pr 3.56, 1 Pm 3.69
3 Pm 0.5000 0.1906 0.8227  5 In 3.24-3.61, 2 Pm 3.55
4 Pr 0.5000 0.5361 0.5402  5 In 3.35-3.69, 2 Pr 3.53, 3 Pm 3.56-3.72
5 Pm 0.0000 0.8091 0.6802  5 In 3.29-3.62, 2 Pr 3.56, 1 Pm 3.69
6 In 0.5000 0.7131 0.8578  7 Pm 3.24-3.61, 1 Pr 3.44
7 In 0.5000 0.2131 0.1422  7 Pm 3.24-3.61, 1 Pr 3.44
8 Pm 0.5000 0.6906 0.1773  5 In 3.24-3.61, 2 Pm 3.55
9 Pm 0.0000 0.4656 0.9591  5 In 3.33-3.69, 5 Pm 3.54-3.69
10 In 0.0000 0.7855 0.3553  6 Pm 3.29-3.62, 2 Pr 3.35
11 Pm 0.0000 0.9656 0.0409  5 In 3.33-3.69, 5 Pm 3.54-3.69
12 Pr 0.5000 0.0361 0.4598  5 In 3.35-3.69, 2 Pr 3.53, 3 Pm 3.56-3.72

Values from the calculation:
Formation energy from the elements, eV/atom: -0.3503
Calculated density, g/cm3: 7.18
Energy relative to the lowest polymorph listed for this composition, meV per atom: 0
Total magnetic moment, Bohr magnetons per cell: 0.0

---

A plane-wave DFT calculation with PBE-GGA was carried out for an optimized crystal structure of Pm3Pr2In.

Lattice parameters (Å, degrees): 5.0050 4.9801 8.2015 107.67 90.00 90.00
Closest atoms and distances in Å follow each position.
Positions (direct):
1 Pm 0.5000 0.5000 0.0000  4 In 3.53, 4 Pm 3.55, 4 Pr 3.56
2 Pm 0.5000 0.8383 0.6765  6 Pr 3.53-3.72, 4 Pm 3.55-3.72, 2 In 3.56
3 In 0.0000 0.0000 0.0000  8 Pm 3.53-3.56, 4 Pr 3.55
4 Pm 0.5000 0.1617 0.3235  6 Pr 3.53-3.72, 4 Pm 3.55-3.72, 2 In 3.56
5 Pr 0.0000 0.3377 0.6753  8 Pm 3.53-3.72, 2 In 3.55, 2 Pr 3.70
6 Pr 0.0000 0.6623 0.3247  8 Pm 3.53-3.72, 2 In 3.55, 2 Pr 3.70

Values from the calculation:
Formation energy from the elements, eV/atom: -0.1509
Calculated density, g/cm3: 7.09
Energy relative to the lowest polymorph listed for this composition, meV per atom: 0
Total magnetic moment, Bohr magnetons per cell: 0.0

---

A plane-wave DFT calculation with PBE-GGA was carried out for an optimized crystal structure of PmPrPuIn.

Lattice parameters (Å, degrees): 5.5456 5.5456 5.5456 60.00 60.00 60.00
Closest atoms and distances in Å follow each position.
Positions (direct):
1 In 0.0000 0.0000 0.0000  4 Pr 3.40, 4 Pu 3.40
2 Pu 0.7500 0.7500 0.7500  4 Pm 3.40, 4 In 3.40
3 Pr 0.2500 0.2500 0.2500  4 In 3.40, 4 Pm 3.40
4 Pm 0.5000 0.5000 0.5000  4 Pu 3.40, 4 Pr 3.40

Values from the calculation:
Formation energy from the elements, eV/atom: 0.0165
Calculated density, g/cm3: 8.88
Energy relative to the lowest polymorph listed for this composition, meV per atom: 79
Total magnetic moment, Bohr magnetons per cell: 6.9

---

A plane-wave DFT calculation with PBE-GGA was carried out for an optimized crystal structure of PmPrPuIn.

Lattice parameters (Å, degrees): 5.5321 5.5321 5.5321 60.00 60.00 60.00
Closest atoms and distances in Å follow each position.
Positions (direct):
1 In 0.5000 0.5000 0.5000  4 Pr 3.39, 4 Pm 3.39
2 Pr 0.7500 0.7500 0.7500  4 In 3.39, 4 Pu 3.39
3 Pu 0.0000 0.0000 0.0000  4 Pm 3.39, 4 Pr 3.39
4 Pm 0.2500 0.2500 0.2500  4 In 3.39, 4 Pu 3.39

Values from the calculation:
Formation energy from the elements, eV/atom: -0.0625
Calculated density, g/cm3: 8.94
Energy relative to the lowest polymorph listed for this composition, meV per atom: 0
Total magnetic moment, Bohr magnetons per cell: 6.6

---

A plane-wave DFT calculation with PBE-GGA was carried out for an optimized crystal structure of PmPrInSb.

Lattice parameters (Å, degrees): 5.5018 5.5018 5.5018 60.00 60.00 60.00
Closest atoms and distances in Å follow each position.
Positions (direct):
1 Pm 0.0000 0.0000 0.0000  4 In 3.37, 4 Sb 3.37
2 In 0.7500 0.7500 0.7500  4 Pr 3.37, 4 Pm 3.37
3 Pr 0.5000 0.5000 0.5000  4 Sb 3.37, 4 In 3.37
4 Sb 0.2500 0.2500 0.2500  4 Pm 3.37, 4 Pr 3.37

Values from the calculation:
Calculated density, g/cm3: 7.37
Total magnetic moment, Bohr magnetons per cell: 0.0
Formation energy without anion corrections, eV per atom: -0.59

---

A plane-wave DFT calculation with PBE-GGA was carried out for an optimized crystal structure of PmPrScIn.

Lattice parameters (Å, degrees): 5.4800 5.4800 5.4800 60.00 60.00 60.00
Closest atoms and distances in Å follow each position.
Positions (direct):
1 In 0.5000 0.5000 0.5000  4 Pr 3.36, 4 Pm 3.36
2 Pr 0.7500 0.7500 0.7500  4 In 3.36, 4 Sc 3.36
3 Pm 0.2500 0.2500 0.2500  4 In 3.36, 4 Sc 3.36
4 Sc 0.0000 0.0000 0.0000  4 Pm 3.36, 4 Pr 3.36

Values from the calculation:
Formation energy from the elements, eV/atom: -0.1662
Calculated density, g/cm3: 6.36
Energy relative to the lowest polymorph listed for this composition, meV per atom: 56
Total magnetic moment, Bohr magnetons per cell: 1.2

---

A plane-wave DFT calculation with PBE-GGA was carried out for an optimized crystal structure of PmPrScIn.

Lattice parameters (Å, degrees): 4.8194 4.8194 9.7524 90.00 90.00 90.00
Closest atoms and distances in Å follow each position.
Positions (direct):
1 Pm 0.0000 0.5000 0.7406  4 Sc 3.36, 4 In 3.41, 4 Pr 3.49
2 In 0.5000 0.0000 0.7197  4 Sc 3.22, 4 Pm 3.41
3 Pr 0.5000 0.5000 0.0000  4 Pr 3.41, 4 Pm 3.49, 4 In 3.64
4 Sc 0.0000 0.0000 0.5000  4 In 3.22, 4 Pm 3.36, 4 Sc 3.41
5 Pm 0.5000 0.0000 0.2594  4 Sc 3.36, 4 In 3.41, 4 Pr 3.49
6 Pr 0.0000 0.0000 0.0000  4 Pr 3.41, 4 Pm 3.49, 4 In 3.64
7 In 0.0000 0.5000 0.2803  4 Sc 3.22, 4 Pm 3.41
8 Sc 0.5000 0.5000 0.5000  4 In 3.22, 4 Pm 3.36, 4 Sc 3.41

Values from the calculation:
Formation energy from the elements, eV/atom: -0.2219
Calculated density, g/cm3: 6.53
Energy relative to the lowest polymorph listed for this composition, meV per atom: 0
Total magnetic moment, Bohr magnetons per cell: 1.6

---

A plane-wave DFT calculation with PBE-GGA was carried out for an optimized crystal structure of PmPrIn2Se4.

Lattice parameters (Å, degrees): 4.2901 8.1059 7.4328 72.23 90.00 90.00
Closest atoms and distances in Å follow each position.
Positions (direct):
1 Se 0.5000 0.2853 0.7348  2 Pm 2.97, 1 Pr 3.00, 3 In 3.30-3.32
2 Pm 0.0000 0.5000 0.5000  6 Se 2.97
3 Se 0.0000 0.7165 0.7578  1 Pm 2.97, 2 Pr 3.00, 3 In 3.30-3.32
4 Se 0.5000 0.7147 0.2652  2 Pm 2.97, 1 Pr 3.00, 3 In 3.30-3.32
5 In 0.0000 0.0000 0.0000  6 Se 3.32
6 Pr 0.5000 0.5000 0.0000  6 Se 3.00
7 In 0.5000 0.0000 0.5000  6 Se 3.30
8 Se 0.0000 0.2835 0.2422  1 Pm 2.97, 2 Pr 3.00, 2 In 3.30

Values from the calculation:
Calculated density, g/cm3: 5.61
Total magnetic moment, Bohr magnetons per cell: 0.0
Formation energy without anion corrections, eV per atom: -1.29

---

A plane-wave DFT calculation with PBE-GGA was carried out for an optimized crystal structure of PmPrInSi.

Lattice parameters (Å, degrees): 5.3240 5.3240 5.3240 60.00 60.00 60.00
Closest atoms and distances in Å follow each position.
Positions (direct):
1 Si 0.7500 0.7500 0.7500  4 Pr 3.26, 4 Pm 3.26
2 Pr 0.5000 0.5000 0.5000  4 In 3.26, 4 Si 3.26
3 Pm 0.0000 0.0000 0.0000  4 Si 3.26, 4 In 3.26
4 In 0.2500 0.2500 0.2500  4 Pr 3.26, 4 Pm 3.26

Values from the calculation:
Calculated density, g/cm3: 6.67
Total magnetic moment, Bohr magnetons per cell: 0.0
Formation energy without anion corrections, eV per atom: -0.38